Record 1
ScReSe: optimized geometry, PBEsol.

Structure (extended XYZ):
```
3
Lattice="-1.062 -3.007 0.157 1.503 -0.321 3.998 -3.999 1.376 -0.681" Properties=species:S:1:pos:R:3 pbc="T T T"
Sc -2.165 0.810 0.879
Se -0.862 -1.259 2.517
Re -0.531 -1.503 0.079
```

formation energy without anion corrections = -0.23 eV/atom
crystal system = hexagonal
SG = P-6m2
uncorrected energy = -8.161 eV per atom

Record 2
Sc2ReSe: optimized geometry, PBEsol.

Structure (extended XYZ):
```
4
Lattice="3.721 0.000 0.000 0.000 3.721 0.000 0.000 0.000 5.555" Properties=species:S:1:pos:R:3 pbc="T T T"
Se 0.000 0.000 2.415
Sc 1.861 1.861 1.605
Sc 0.000 0.000 5.231
Re 1.861 1.861 4.637
```

formation energy without anion corrections = -0.29 eV/atom
crystal system = tetragonal
SG = P4mm
uncorrected energy = -7.889 eV per atom